No. 1
Pm2HfThAs4 after structural relaxation, computed with PBE.

It has space group P2/m (No. 10), with a = 7.150 Å, b = 4.139 Å, c = 7.194 Å, α = 90.00°, β = 109.36° and γ = 90.00°. The asymmetric unit holds Pm at (0.000, 0.000, 0.000), Pm at (0.500, 0.500, 0.000), Hf at (0.000, 0.500, 0.500), Th at (0.500, 0.000, 0.500), As at (0.230, 0.000, 0.731) and As at (0.239, 0.500, 0.259).

The total magnetization is 0.000 μB/f.u. The calculation puts the calculated formation energy at -1.3282 eV/atom.

No. 2
Li2RhI after structural relaxation, computed with PBE.

It has space group P4/mmm (No. 123), with a = 4.048 Å, b = 4.048 Å, c = 3.995 Å, α = 90.00°, β = 90.00° and γ = 90.00°. The asymmetric unit holds Li at (0.000, 0.500, 0.000), Rh at (0.000, 0.000, 0.500) and I at (0.500, 0.500, 0.500).

The value obtained for the distance to the lowest polymorph of the same formula is 0.00 eV per formula unit. The total magnetization is 0.000 μB/f.u. For the formation energy from raw total energies, the calculation gives -243.6 meV/atom.

No. 3
AcThMg2 after structural relaxation, computed with PBE.

It has space group R-3m (No. 166, hexagonal axes), with a = 3.6148 Å, b = 3.6148 Å, c = 34.0882 Å, α = 90.00°, β = 90.00° and γ = 120.00°. The asymmetric unit holds Ac at (0.0000, 0.0000, 0.0000), Th at (0.0000, 0.0000, 0.5000) and Mg at (0.0000, 0.0000, 0.2469).

The total magnetization is 0.000 μB/f.u. The calculation puts the calculated formation energy at 0.1602 eV/atom.

No. 4
Ac12YCo7 after structural relaxation, computed with PBE.

It has space group R-3 (No. 148, hexagonal axes), with a = 14.9039 Å, b = 14.9039 Å, c = 10.1349 Å, α = 90.00°, β = 90.00° and γ = 120.00°. The asymmetric unit holds Ac at (0.0254, 0.5848, 0.1601), Ac at (0.0476, 0.1695, 0.8243), Y at (0.0000, 0.0000, 0.5000), Co at (0.0000, 0.0000, 0.0000) and Co at (0.0444, 0.1847, 0.3380).

The total magnetization is 0.000 μB/f.u. The calculation puts the calculated formation energy at -0.0173 eV/atom.

No. 5
TiBiPd3 after structural relaxation, computed with PBE.

It has space group Pmmn (No. 59, origin choice 2), with a = 3.243 Å, b = 7.629 Å, c = 7.862 Å, α = 90.00°, β = 90.00° and γ = 90.00°. The asymmetric unit holds Ti at (0.250, 0.250, 0.023), Bi at (0.250, 0.250, 0.595), Pd at (0.250, 0.554, 0.162) and Pd at (0.250, 0.750, 0.726).

The value obtained for the distance to the lowest polymorph of the same formula is 0.00 eV per formula unit. The total magnetization is 0.000 μB/f.u. The calculation puts the calculated formation energy at -0.2948 eV/atom.

No. 6
Pm3Sm8Y2 after structural relaxation, computed with PBE.

It has space group P-1 (No. 2), with a = 5.762 Å, b = 7.731 Å, c = 10.917 Å, α = 69.31°, β = 89.99° and γ = 90.00°. The asymmetric unit holds Pm at (0.000, 0.000, 0.000), Pm at (0.500, 0.289, 0.000), Sm at (0.000, 0.184, 0.214), Sm at (0.000, 0.399, 0.786), Sm at (0.500, 0.134, 0.731), Sm at (0.500, 0.329, 0.343) and Y at (0.001, 0.759, 0.483).

The value obtained for the distance to the lowest polymorph of the same formula is 0.77 eV per formula unit. The total magnetization is 0.000 μB/f.u. The calculation puts the calculated formation energy at 0.2211 eV/atom.

No. 7
Ti5CrCo6 after structural relaxation, computed with PBE.

It has space group Cmmm (No. 65), with a = 4.191 Å, b = 12.557 Å, c = 5.934 Å, α = 90.00°, β = 90.00° and γ = 90.00°. The asymmetric unit holds Ti at (0.000, 0.000, 0.000), Ti at (0.000, 0.333, 0.000), Ti at (0.000, 0.340, 0.500), Cr at (0.000, 0.000, 0.500), Co at (0.000, 0.169, 0.250) and Co at (0.000, 0.500, 0.242).

The total magnetization is 7.344 μB/f.u. The calculation puts the calculated formation energy at -0.3149 eV/atom.

No. 8
Sm3DyTh4Se8 after structural relaxation, computed with PBE.

It has space group R-3m (No. 166, hexagonal axes), with a = 8.2129 Å, b = 8.2129 Å, c = 21.1254 Å, α = 90.00°, β = 90.00° and γ = 120.00°. The asymmetric unit holds Sm at (0.0000, 0.5000, 0.0000), Dy at (0.0000, 0.0000, 0.0000), Th at (0.0000, 0.0000, 0.5000), Th at (0.0000, 0.5000, 0.5000), Se at (0.0000, 0.0000, 0.2524) and Se at (0.0038, 0.5019, 0.7467).

The total magnetization is 0.000 μB/f.u. For the formation energy from raw total energies, the calculation gives -1666.0 meV/atom.